# 1
Material: SrLa2DySe4
Method: DFT, PBE-GGA
State: optimized geometry

Cell: 4.251 7.438 7.403 Å, 70.94 90.00 90.00°
Fractional coordinates of all 8 atoms:
Se 0.500 0.737 0.263
Se 0.000 0.256 0.258
Sr 0.500 0.500 0.000
La 0.000 0.000 0.000
Se 0.000 0.744 0.742
Dy 0.000 0.500 0.500
La 0.500 0.000 0.500
Se 0.500 0.263 0.737

The density of states at the Fermi level is 0.504 states/eV/atom. As for the density: 6.33 g/cm³. Its space group is P2/m. Its formation energy (no corrections) is -1.91 eV/atom.

# 2
Material: SrLaDy4Se8
Method: DFT, PBE-GGA
State: optimized geometry

Cell: 8.530 8.530 8.670 Å, 60.53 60.53 60.00°
Fractional coordinates of all 14 atoms:
La 0.001 0.001 0.996
Se 0.750 0.750 0.268
Se 0.788 0.244 0.724
Se 0.244 0.788 0.724
Dy 0.002 0.495 0.502
Dy 0.002 0.002 0.502
Se 0.750 0.232 0.268
Dy 0.626 0.626 0.122
Se 0.232 0.750 0.268
Se 0.244 0.244 0.724
Se 0.758 0.758 0.726
Dy 0.495 0.002 0.502
Sr 0.373 0.373 0.882
Se 0.236 0.236 0.292

The density of states at the Fermi level is 0.307 states/eV/atom. As for the density: 5.57 g/cm³. Its space group is R3m. Its formation energy (no corrections) is -1.81 eV/atom.

# 3
Material: LaTb3Dy2Se6
Method: DFT, PBE-GGA
State: optimized geometry

Cell: 7.155 7.155 7.147 Å, 99.60 99.60 120.27°
Fractional coordinates of all 12 atoms:
Se 0.915 0.570 0.744
Tb 0.839 0.161 0.500
Se 0.739 0.739 0.250
Se 0.570 0.915 0.744
La 0.000 0.000 0.000
Dy 0.667 0.333 0.000
Tb 0.500 0.500 0.500
Dy 0.333 0.667 0.000
Se 0.085 0.430 0.256
Tb 0.161 0.839 0.500
Se 0.430 0.085 0.256
Se 0.261 0.261 0.750

The density of states at the Fermi level is 0.484 states/eV/atom. As for the density: 7.89 g/cm³. Its space group is C2/m. Its formation energy (no corrections) is -1.80 eV/atom.

# 4
Material: La3TbDy3Se8
Method: DFT, PBE-GGA
State: optimized geometry

Cell: 8.286 8.287 8.421 Å, 119.47 90.00 120.00°
Fractional coordinates of all 15 atoms:
Tb 0.000 0.000 0.500
La 0.500 0.500 0.000
Dy 0.000 0.500 0.500
Se 0.248 0.497 0.736
La 0.000 0.500 0.000
Se 0.752 0.012 0.264
Dy 0.500 0.000 0.500
Se 0.260 0.012 0.264
Se 0.744 0.488 0.732
Se 0.256 0.512 0.268
La 0.000 0.000 0.000
Se 0.752 0.503 0.264
Se 0.248 0.988 0.736
Se 0.740 0.988 0.736
Dy 0.500 0.500 0.500

The density of states at the Fermi level is 0.515 states/eV/atom. As for the density: 6.83 g/cm³. Its space group is R-3m. Its formation energy (no corrections) is -1.92 eV/atom.

# 5
Material: LaTb3Dy4Se8
Method: DFT, PBE-GGA
State: optimized geometry

Cell: 8.226 8.233 8.227 Å, 119.99 119.99 90.00°
Fractional coordinates of all 16 atoms:
Tb 0.500 0.500 0.500
Se 0.745 0.758 0.001
Se 0.249 0.248 0.499
Se 0.256 0.758 0.001
La 0.000 0.500 0.000
Se 0.751 0.752 0.501
Dy 0.500 0.000 0.000
Se 0.744 0.242 0.999
Dy 0.000 0.000 0.500
Tb 0.500 0.500 0.000
Se 0.255 0.242 0.999
Dy 0.500 0.000 0.500
Dy 0.000 0.000 0.000
Se 0.744 0.242 0.488
Se 0.256 0.758 0.512
Tb 0.000 0.500 0.500

The density of states at the Fermi level is 0.666 states/eV/atom. As for the density: 7.99 g/cm³. Its space group is R-3m. Its formation energy (no corrections) is -1.78 eV/atom.

# 6
Material: La2TbDy3Se6
Method: DFT, PBE-GGA
State: optimized geometry

Cell: 4.123 8.399 9.314 Å, 103.75 102.79 90.00°
Fractional coordinates of all 12 atoms:
Dy 0.500 0.500 0.000
Dy 0.169 0.834 0.338
Se 0.005 0.751 0.011
Se 0.338 0.406 0.675
Se 0.666 0.070 0.332
Dy 0.831 0.166 0.662
La 0.166 0.333 0.333
Se 0.334 0.930 0.668
Tb 0.500 0.000 0.000
La 0.834 0.667 0.667
Se 0.662 0.594 0.325
Se 0.995 0.249 0.989

The density of states at the Fermi level is 0.519 states/eV/atom. As for the density: 7.61 g/cm³. Its space group is C2/m. Its formation energy (no corrections) is -1.84 eV/atom.

# 7
Material: LaTbDy2Se4
Method: DFT, PBE-GGA
State: optimized geometry

Cell: 4.085 7.224 7.189 Å, 71.23 90.00 90.00°
Fractional coordinates of all 8 atoms:
Tb 0.000 0.500 0.500
Se 0.500 0.757 0.255
La 0.500 0.500 0.000
Se 0.500 0.243 0.745
Se 0.000 0.763 0.738
Dy 0.500 0.000 0.500
Dy 0.000 0.000 0.000
Se 0.000 0.237 0.262

The density of states at the Fermi level is 0.628 states/eV/atom. As for the density: 7.76 g/cm³. Its space group is P2/m. Its formation energy (no corrections) is -1.81 eV/atom.

# 8
Material: LaTb2DySe6
Method: DFT, PBE-GGA
State: optimized geometry

Cell: 7.342 7.342 7.774 Å, 61.82 61.82 59.99°
Fractional coordinates of all 10 atoms:
Se 0.225 0.917 0.248
Se 0.610 0.225 0.248
Se 0.724 0.134 0.749
Tb 0.517 0.517 0.449
La 0.811 0.811 0.568
Se 0.917 0.610 0.248
Tb 0.012 0.013 0.962
Dy 0.318 0.318 0.046
Se 0.135 0.393 0.749
Se 0.393 0.724 0.749

The density of states at the Fermi level is 0.000 states/eV/atom. As for the density: 5.97 g/cm³. Its space group is R3. Its formation energy (no corrections) is -1.88 eV/atom.

# 9
Material: LaTb4Dy3Se8
Method: DFT, PBE-GGA
State: optimized geometry

Cell: 8.239 8.232 8.241 Å, 120.05 119.99 90.00°
Fractional coordinates of all 16 atoms:
Dy 0.500 0.500 0.500
Se 0.745 0.246 0.001
Tb 0.000 0.000 0.500
Se 0.255 0.754 0.511
Se 0.749 0.748 0.499
Se 0.251 0.252 0.501
Dy 0.500 0.500 0.000
Se 0.743 0.754 0.999
Se 0.255 0.754 0.999
Se 0.745 0.246 0.489
Tb 0.000 0.000 0.000
Se 0.257 0.246 0.001
Dy 0.000 0.500 0.500
La 0.000 0.500 0.000
Tb 0.500 0.000 0.500
Tb 0.500 0.000 0.000

The density of states at the Fermi level is 0.671 states/eV/atom. As for the density: 7.96 g/cm³. Its space group is R-3m. Its formation energy (no corrections) is -1.78 eV/atom.

# 10
Material: LaDyTe2Se
Method: DFT, PBE-GGA
State: optimized geometry

Cell: 4.421 4.421 15.721 Å, 90.00 90.00 90.00°
Fractional coordinates of all 10 atoms:
Dy 0.500 0.000 0.093
Se 0.000 0.000 0.500
Te 0.000 0.500 0.105
Te 0.500 0.000 0.895
Te 0.000 0.500 0.713
Dy 0.000 0.500 0.907
Te 0.500 0.000 0.287
La 0.000 0.500 0.368
Se 0.500 0.500 0.500
La 0.500 0.000 0.632

The density of states at the Fermi level is 0.428 states/eV/atom. As for the density: 6.87 g/cm³. Its space group is P4/nmm. Its formation energy (no corrections) is -1.49 eV/atom.

# 11
Material: La3DyTh2Se6
Method: DFT, PBE-GGA
State: optimized geometry

Cell: 7.327 7.327 7.337 Å, 99.58 99.58 119.74°
Fractional coordinates of all 12 atoms:
Th 0.666 0.334 0.000
La 0.500 0.500 0.500
La 0.831 0.169 0.500
Se 0.405 0.079 0.239
La 0.169 0.831 0.500
Se 0.921 0.595 0.761
Se 0.079 0.405 0.239
Th 0.334 0.666 0.000
Se 0.595 0.921 0.761
Se 0.244 0.244 0.758
Dy 0.000 0.000 0.000
Se 0.756 0.756 0.242

The density of states at the Fermi level is 0.641 states/eV/atom. As for the density: 7.81 g/cm³. Its space group is C2/m. Its formation energy (no corrections) is -1.80 eV/atom.

# 12
Material: LaDy2Th3Se6
Method: DFT, PBE-GGA
State: optimized geometry

Cell: 7.099 7.099 7.452 Å, 99.11 99.11 119.68°
Fractional coordinates of all 12 atoms:
Se 0.919 0.574 0.757
Se 0.268 0.268 0.766
La 0.000 0.000 0.000
Se 0.732 0.732 0.234
Se 0.081 0.426 0.243
Th 0.160 0.840 0.500
Dy 0.332 0.668 0.000
Se 0.574 0.919 0.757
Th 0.840 0.160 0.500
Th 0.500 0.500 0.500
Dy 0.668 0.332 0.000
Se 0.426 0.081 0.243

The density of states at the Fermi level is 0.668 states/eV/atom. As for the density: 8.76 g/cm³. Its space group is C2/m. Its formation energy (no corrections) is -1.67 eV/atom.

# 13
Material: LaDy3Th4Se8
Method: DFT, PBE-GGA
State: optimized geometry

Cell: 8.175 8.507 8.176 Å, 118.72 120.00 90.00°
Fractional coordinates of all 16 atoms:
Dy 0.000 0.500 0.500
Dy 0.500 0.500 0.500
Se 0.749 0.260 0.011
Se 0.255 0.265 0.510
Th 0.500 0.000 0.000
Se 0.251 0.740 0.989
Th 0.000 0.000 0.000
Se 0.251 0.740 0.502
Se 0.749 0.260 0.498
Th 0.500 0.000 0.500
Se 0.262 0.260 0.011
Se 0.738 0.740 0.989
Se 0.745 0.735 0.490
Th 0.000 0.000 0.500
Dy 0.500 0.500 0.000
La 0.000 0.500 0.000

The density of states at the Fermi level is 0.335 states/eV/atom. As for the density: 8.86 g/cm³. Its space group is R-3m. Its formation energy (no corrections) is -1.67 eV/atom.

# 14
Material: La4Dy3ThSe8
Method: DFT, PBE-GGA
State: optimized geometry

Cell: 8.400 8.448 8.400 Å, 119.81 120.00 90.00°
Fractional coordinates of all 16 atoms:
Se 0.744 0.731 0.487
Dy 0.000 0.500 0.500
Dy 0.500 0.500 0.000
Th 0.000 0.500 0.000
Se 0.739 0.735 0.987
Dy 0.500 0.500 0.500
La 0.000 0.000 0.000
Se 0.752 0.265 0.013
Se 0.248 0.735 0.987
La 0.500 0.000 0.500
Se 0.256 0.269 0.513
La 0.000 0.000 0.500
La 0.500 0.000 0.000
Se 0.261 0.265 0.013
Se 0.752 0.265 0.504
Se 0.248 0.735 0.496

The density of states at the Fermi level is 0.684 states/eV/atom. As for the density: 7.49 g/cm³. Its space group is R-3m. Its formation energy (no corrections) is -1.85 eV/atom.

# 15
Material: La3DyTh4Se8
Method: DFT, PBE-GGA
State: optimized geometry

Cell: 8.352 8.556 8.351 Å, 119.19 120.01 90.00°
Fractional coordinates of all 16 atoms:
La 0.000 0.500 0.500
Th 0.500 0.000 0.000
Dy 0.000 0.500 0.000
La 0.500 0.500 0.500
Se 0.758 0.747 0.003
Se 0.242 0.253 0.997
Th 0.000 0.000 0.000
Th 0.000 0.000 0.500
Se 0.244 0.747 0.489
Th 0.500 0.000 0.500
La 0.500 0.500 0.000
Se 0.249 0.247 0.498
Se 0.245 0.747 0.003
Se 0.751 0.753 0.502
Se 0.755 0.253 0.997
Se 0.756 0.253 0.511

The density of states at the Fermi level is 0.360 states/eV/atom. As for the density: 8.32 g/cm³. Its space group is R-3m. Its formation energy (no corrections) is -1.73 eV/atom.

# 16
Material: La2DyTh3Se6
Method: DFT, PBE-GGA
State: optimized geometry

Cell: 4.211 8.456 9.491 Å, 104.42 102.82 90.00°
Fractional coordinates of all 12 atoms:
Se 0.997 0.239 0.994
Th 0.500 0.500 0.000
La 0.835 0.667 0.669
Se 0.003 0.761 0.006
Th 0.170 0.835 0.339
Se 0.333 0.414 0.667
Se 0.338 0.922 0.677
La 0.165 0.333 0.331
Se 0.667 0.586 0.333
Th 0.830 0.165 0.661
Dy 0.500 0.000 0.000
Se 0.662 0.078 0.323

The density of states at the Fermi level is 0.743 states/eV/atom. As for the density: 8.39 g/cm³. Its space group is C2/m. Its formation energy (no corrections) is -1.71 eV/atom.

# 17
Material: LaDyTl2Se4
Method: DFT, PBE-GGA
State: optimized geometry

Cell: 4.304 7.463 8.124 Å, 107.77 90.00 90.00°
Fractional coordinates of all 8 atoms:
Se 0.000 0.252 0.790
Se 0.500 0.225 0.206
Se 0.500 0.775 0.794
Tl 0.500 0.000 0.500
Se 0.000 0.748 0.210
Dy 0.000 0.000 0.000
Tl 0.000 0.500 0.500
La 0.500 0.500 0.000

As for the density: 6.86 g/cm³. Its space group is P2/m. Its formation energy (no corrections) is -1.42 eV/atom.

# 18
Material: La3DyTl4Se8
Method: DFT, PBE-GGA
State: optimized geometry

Cell: 8.731 9.221 8.732 Å, 118.28 119.99 90.00°
Fractional coordinates of all 16 atoms:
La 0.500 0.500 0.000
La 0.500 0.500 0.500
Se 0.231 0.708 0.978
Se 0.769 0.291 0.538
Se 0.231 0.709 0.462
La 0.000 0.500 0.500
Tl 0.500 0.000 0.000
Se 0.738 0.713 0.476
Se 0.747 0.708 0.978
Se 0.253 0.292 0.022
Tl 0.500 0.000 0.500
Se 0.262 0.287 0.524
Dy 0.000 0.500 0.000
Tl 0.000 0.000 0.500
Se 0.769 0.292 0.022
Tl 0.000 0.000 0.000

The density of states at the Fermi level is 0.000 states/eV/atom. As for the density: 6.61 g/cm³. Its space group is R-3m. Its formation energy (no corrections) is -1.44 eV/atom.

# 19
Material: La2DyTl3Se6
Method: DFT, PBE-GGA
State: optimized geometry

Cell: 7.527 7.527 8.117 Å, 98.89 98.89 119.97°
Fractional coordinates of all 12 atoms:
Dy 0.000 0.000 0.000
Tl 0.500 0.500 0.500
Se 0.930 0.609 0.792
La 0.667 0.333 0.000
Se 0.251 0.251 0.789
Se 0.749 0.749 0.211
Se 0.609 0.930 0.792
La 0.333 0.667 0.000
Tl 0.832 0.168 0.500
Se 0.070 0.391 0.208
Se 0.391 0.070 0.208
Tl 0.168 0.832 0.500

The density of states at the Fermi level is 0.000 states/eV/atom. As for the density: 6.69 g/cm³. Its space group is C2/m. Its formation energy (no corrections) is -1.43 eV/atom.

# 20
Material: LaDy3Tm2Se6
Method: DFT, PBE-GGA
State: optimized geometry

Cell: 7.109 7.109 7.089 Å, 99.62 99.62 120.24°
Fractional coordinates of all 12 atoms:
Tm 0.333 0.667 0.000
Se 0.085 0.434 0.255
Dy 0.158 0.842 0.500
Se 0.566 0.915 0.745
Tm 0.667 0.333 0.000
Se 0.434 0.085 0.255
Se 0.915 0.566 0.745
Dy 0.500 0.500 0.500
Se 0.267 0.267 0.754
Se 0.733 0.733 0.246
La 0.000 0.000 0.000
Dy 0.842 0.158 0.500

The density of states at the Fermi level is 0.482 states/eV/atom. As for the density: 8.19 g/cm³. Its space group is C2/m. Its formation energy (no corrections) is -1.76 eV/atom.